U3TlS6 after structural relaxation, computed with PBE-GGA.

a = 4.084 Å, b = 8.552 Å, c = 8.552 Å
α = 110.08°, β = 90.00°, γ = 90.00°
Each line ends with the local moment (μB).
Sites, in units of the cell vectors:
S  0.500  0.681  0.319  -0.08
U  0.000  0.000  0.000  2.62
U  0.500  0.000  0.500  1.98
Tl  0.000  0.500  0.500  -0.01
U  0.500  0.500  0.000  1.98
S  0.000  0.069  0.327  -0.08
S  0.000  0.327  0.069  -0.08
S  0.500  0.319  0.681  -0.08
S  0.000  0.931  0.673  -0.08
S  0.000  0.673  0.931  -0.08

Formation energy from raw total energies in eV per atom: -1.022
Relative energy among the computed polymorphs in meV/atom: 219
SG: Cmmm
Volume in Å³/cell: 280.6


AlTc2Os after structural relaxation, computed with PBE-GGA.

a = 4.851 Å, b = 4.851 Å, c = 4.851 Å
α = 134.12°, β = 134.12°, γ = 66.90°
Each line ends with the local moment (μB).
Sites, in units of the cell vectors:
Al  0.500  0.500  0.000  0.00
Tc  0.250  0.750  0.500  0.01
Os  0.750  0.250  0.500  0.04
Tc  0.000  0.000  0.000  0.32

SG: I-4m2
Volume in Å³/cell: 57.9
DFT formation energy in meV per atom: -21


BiPSe3 after structural relaxation, computed with PBE-GGA.

a = 5.528 Å, b = 5.528 Å, c = 5.528 Å
α = 90.00°, β = 90.00°, γ = 90.00°
Each line ends with the local moment (μB).
Sites, in units of the cell vectors:
Se  0.000  0.000  0.500  -0.28
Se  0.000  0.500  0.000  -0.26
P  0.500  0.500  0.500  0.88
Se  0.500  0.000  0.000  -0.36
Bi  0.000  0.000  0.000  0.02

Formation energy from raw total energies in eV per atom: 1.048
Relative energy among the computed polymorphs in meV/atom: 836
SG: Pm-3m
Volume in Å³/cell: 168.9


Pm2PrAlAu4 after structural relaxation, computed with PBE-GGA.

a = 5.099 Å, b = 5.099 Å, c = 8.969 Å
α = 73.48°, β = 73.48°, γ = 60.00°
Sites, in units of the cell vectors:
Au  0.392  0.392  0.825
Pm  0.239  0.239  0.284
Au  0.608  0.608  0.175
Au  0.120  0.120  0.640
Al  0.500  0.500  0.500
Au  0.880  0.880  0.360
Pm  0.761  0.761  0.716
Pr  0.000  0.000  0.000

SG: R-3m
Volume in Å³/cell: 190.8
DFT formation energy in meV per atom: -697